No. 1
DFT (GGA-PBE) results for crystalline Ho6Tm12Th at its relaxed geometry.

Summary:
**D(E_F)**: 30.497 states/eV/cell
**Formation enthalpy at 0 K**: 282 kJ/mol of formula units
**V**: 597 Å³/cell
**Polymorph energy (0 for the lowest one)**: 0.000 eV/atom

POSCAR file:
```
Ho6Tm12Th
1.0
5.876 3.392 4.989
-5.876 3.392 4.989
0.000 -6.785 4.989
Ho Tm Th
6 12 1
Direct
0.185 0.754 0.589
0.246 0.411 0.815
0.411 0.815 0.246
0.589 0.185 0.754
0.754 0.589 0.185
0.815 0.246 0.411
0.045 0.939 0.272
0.061 0.728 0.955
0.152 0.493 0.284
0.272 0.045 0.939
0.284 0.152 0.493
0.493 0.284 0.152
0.507 0.716 0.848
0.716 0.848 0.507
0.728 0.955 0.061
0.848 0.507 0.716
0.939 0.272 0.045
0.955 0.061 0.728
0.500 0.500 0.500
```


No. 2
DFT (GGA-PBE) results for crystalline HoTmTh4 at its relaxed geometry.

Summary:
**D(E_F)**: 6.645 states/eV/cell
**Formation enthalpy at 0 K**: 47 kJ/mol of formula units
**V**: 195 Å³/cell
**Polymorph energy (0 for the lowest one)**: 0.000 eV/atom

POSCAR file:
```
HoTmTh4
1.0
3.478 0.000 0.000
0.000 5.693 0.000
0.000 0.000 9.848
Ho Tm Th
1 1 4
Direct
0.000 0.000 0.000
0.000 0.500 0.500
0.500 0.000 0.334
0.500 0.000 0.666
0.500 0.500 0.167
0.500 0.500 0.833
```


No. 3
DFT (GGA-PBE) results for crystalline HoTm2Th at its relaxed geometry.

Summary:
**D(E_F)**: 7.620 states/eV/cell
**Formation enthalpy at 0 K**: 49 kJ/mol of formula units
**V**: 125 Å³/cell
**Polymorph energy (0 for the lowest one)**: 0.103 eV/atom

POSCAR file:
```
HoTm2Th
1.0
0.000 3.969 3.969
3.969 0.000 3.969
3.969 3.969 0.000
Ho Tm Th
1 2 1
Direct
0.000 0.000 0.000
0.250 0.250 0.250
0.750 0.750 0.750
0.500 0.500 0.500
```


No. 4
DFT (GGA-PBE) results for crystalline HoTmTh6 at its relaxed geometry.

Summary:
**D(E_F)**: 13.312 states/eV/cell
**Formation enthalpy at 0 K**: 95 kJ/mol of formula units
**V**: 257 Å³/cell
**Polymorph energy (0 for the lowest one)**: 0.069 eV/atom

POSCAR file:
```
HoTmTh6
1.0
-2.992 2.992 7.172
2.992 -2.992 7.172
2.992 2.992 -7.172
Ho Tm Th
1 1 6
Direct
0.000 0.000 0.000
0.500 0.500 0.000
0.127 0.627 0.500
0.250 0.250 0.000
0.373 0.873 0.500
0.627 0.127 0.500
0.750 0.750 0.000
0.873 0.373 0.500
```


No. 5
DFT (GGA-PBE) results for crystalline Ho12TmTh5 at its relaxed geometry.

Summary:
**D(E_F)**: 26.584 states/eV/cell
**Formation enthalpy at 0 K**: 46 kJ/mol of formula units
**V**: 567 Å³/cell

POSCAR file:
```
Ho12TmTh5
1.0
7.472 -7.532 0.000
7.472 7.532 0.000
0.000 0.000 5.034
Ho Tm Th
12 1 5
Direct
0.004 0.670 0.500
0.163 0.163 0.000
0.171 0.503 0.000
0.330 0.996 0.500
0.334 0.334 0.500
0.497 0.829 0.000
0.503 0.171 0.000
0.666 0.666 0.500
0.670 0.004 0.500
0.829 0.497 0.000
0.837 0.837 0.000
0.996 0.330 0.500
0.500 0.500 0.000
0.000 0.000 0.500
0.168 0.832 0.000
0.334 0.666 0.500
0.666 0.334 0.500
0.832 0.168 0.000
```


No. 6
DFT (GGA-PBE) results for crystalline Ho2Tm3Th6 at its relaxed geometry.

Summary:
**D(E_F)**: 16.303 states/eV/cell
**Formation enthalpy at 0 K**: 34 kJ/mol of formula units
**V**: 345 Å³/cell

POSCAR file:
```
Ho2Tm3Th6
1.0
1.779 1.027 31.498
-1.779 1.027 31.498
0.000 -2.055 31.498
Ho Tm Th
2 3 6
Direct
0.046 0.046 0.046
0.954 0.954 0.954
0.227 0.227 0.227
0.500 0.500 0.500
0.773 0.773 0.773
0.137 0.137 0.137
0.318 0.318 0.318
0.410 0.410 0.410
0.590 0.590 0.590
0.682 0.682 0.682
0.863 0.863 0.863
```


No. 7
DFT (GGA-PBE) results for crystalline Ho4Tm3Th at its relaxed geometry.

Summary:
**D(E_F)**: 13.677 states/eV/cell
**Formation enthalpy at 0 K**: 136 kJ/mol of formula units
**V**: 253 Å³/cell
**Polymorph energy (0 for the lowest one)**: 0.162 eV/atom

POSCAR file:
```
Ho4Tm3Th
1.0
11.588 -1.714 0.000
11.588 1.714 0.000
-1.896 0.000 6.356
Ho Tm Th
4 3 1
Direct
0.124 0.124 0.366
0.259 0.259 0.761
0.741 0.741 0.239
0.876 0.876 0.634
0.000 0.000 0.500
0.124 0.124 0.884
0.876 0.876 0.116
0.500 0.500 0.000
```


No. 8
DFT (GGA-PBE) results for crystalline Ho3Tm3Th at its relaxed geometry.

Summary:
**D(E_F)**: 21.422 states/eV/cell
**Formation enthalpy at 0 K**: 10 kJ/mol of formula units
**V**: 436 Å³/cell

POSCAR file:
```
Ho3Tm3Th
1.0
9.466 0.000 0.000
-4.733 8.198 0.000
0.000 0.000 5.620
Ho Tm Th
6 6 2
Direct
0.053 0.241 0.250
0.188 0.947 0.250
0.241 0.188 0.750
0.759 0.812 0.250
0.812 0.053 0.750
0.947 0.759 0.750
0.095 0.479 0.750
0.384 0.905 0.750
0.479 0.384 0.250
0.521 0.616 0.750
0.616 0.095 0.250
0.905 0.521 0.250
0.333 0.667 0.250
0.667 0.333 0.750
```